(1)
Below is a relaxed structure of Nb2Fe2Ni15, with properties calculated at the PBE-GGA level.

abc: 6.146 6.146 6.146
angles: 82.09 82.09 82.09
Each line ends with the local moment (μB).
Positions (direct):
Ni  0.653  0.161  0.653  0.39
Ni  0.500  0.000  0.000  0.46
Ni  0.653  0.653  0.161  0.39
Nb  0.659  0.659  0.659  -0.29
Fe  0.098  0.098  0.098  2.71
Ni  0.839  0.347  0.347  0.39
Nb  0.341  0.341  0.341  -0.29
Ni  0.689  0.000  0.311  0.28
Ni  0.161  0.653  0.653  0.39
Ni  0.689  0.311  0.000  0.28
Ni  0.000  0.000  0.500  0.46
Ni  0.000  0.311  0.689  0.28
Ni  0.311  0.689  0.000  0.28
Ni  0.311  0.000  0.689  0.28
Ni  0.347  0.347  0.839  0.39
Ni  0.000  0.500  0.000  0.46
Ni  0.000  0.689  0.311  0.28
Ni  0.347  0.839  0.347  0.39
Fe  0.902  0.902  0.902  2.71

Properties
ρ = 8.6 g/cm3
DFT total energy = -6.529 eV per atom
Calculated volume = 11.902 Å³ per atom
Formation energy = -0.014 eV per atom
Magnetic moment = 9.77 μB per formula unit


(2)
Below is a relaxed structure of NbFe2Ni5, with properties calculated at the PBE-GGA level.

abc: 4.421 6.605 7.302
angles: 106.54 107.62 90.00
Each line ends with the local moment (μB).
Positions (direct):
Nb  0.500  0.500  0.500  -0.38
Ni  0.725  0.937  0.120  0.48
Ni  0.889  0.315  0.353  0.27
Fe  0.933  0.622  0.238  2.66
Fe  0.695  0.878  0.762  2.66
Nb  0.000  0.000  0.500  -0.38
Ni  0.394  0.437  0.120  0.48
Ni  0.275  0.063  0.880  0.48
Ni  0.839  0.250  0.000  0.61
Ni  0.464  0.815  0.353  0.27
Fe  0.067  0.378  0.762  2.66
Ni  0.161  0.750  0.000  0.61
Ni  0.606  0.563  0.880  0.48
Ni  0.111  0.685  0.647  0.27
Ni  0.536  0.185  0.647  0.27
Fe  0.305  0.122  0.238  2.66

Properties
ρ = 8.5 g/cm3
DFT total energy = -7.009 eV per atom
Calculated volume = 12.120 Å³ per atom
Formation energy = -0.022 eV per atom
Magnetic moment = 6.87 μB per formula unit


(3)
Below is a relaxed structure of NbFeNi, with properties calculated at the PBE-GGA level.

abc: 3.337 3.900 6.333
angles: 90.00 105.28 90.00
Each line ends with the local moment (μB).
Positions (direct):
Fe  0.582  0.250  0.165  1.30
Ni  0.756  0.750  0.512  0.09
Nb  0.095  0.750  0.190  -0.31
Ni  0.244  0.250  0.488  0.09
Nb  0.905  0.250  0.810  -0.31
Fe  0.418  0.750  0.835  1.30

Properties
ρ = 8.7 g/cm3
DFT total energy = -8.203 eV per atom
Calculated volume = 13.252 Å³ per atom
Formation energy = -0.098 eV per atom
Magnetic moment = 1.04 μB per formula unit


(4)
Below is a relaxed structure of NbFe2Ni2, with properties calculated at the PBE-GGA level.

abc: 3.466 3.466 6.009
angles: 73.24 73.24 90.00
Each line ends with the local moment (μB).
Positions (direct):
Fe  0.250  0.750  0.500  2.34
Ni  0.398  0.398  0.204  0.26
Nb  0.000  0.000  0.000  -0.51
Fe  0.750  0.250  0.500  2.34
Ni  0.602  0.602  0.796  0.26

Properties
ρ = 8.1 g/cm3
DFT total energy = -7.593 eV per atom
Calculated volume = 13.180 Å³ per atom
Formation energy = 0.119 eV per atom
Magnetic moment = 4.54 μB per formula unit


(5)
Below is a relaxed structure of NbFe2Ni, with properties calculated at the PBE-GGA level.

abc: 3.690 3.701 3.701
angles: 90.00 90.00 90.00
Each line ends with the local moment (μB).
Positions (direct):
Ni  0.500  0.000  0.000  0.09
Fe  0.000  0.500  0.000  1.67
Fe  0.000  0.000  0.500  1.67
Nb  0.500  0.500  0.500  -0.61

Properties
ρ = 8.7 g/cm3
DFT total energy = -8.291 eV per atom
Calculated volume = 12.633 Å³ per atom
Formation energy = -0.097 eV per atom
Magnetic moment = 2.73 μB per formula unit


(6)
Below is a relaxed structure of NbFe2Ni, with properties calculated at the PBE-GGA level.

abc: 3.545 3.545 9.202
angles: 78.89 78.89 90.00
Each line ends with the local moment (μB).
Positions (direct):
Nb  0.750  0.250  0.500  -0.36
Ni  0.250  0.750  0.500  -0.08
Fe  0.137  0.625  0.250  2.20
Fe  0.875  0.863  0.750  2.17
Fe  0.613  0.125  0.250  2.19
Ni  0.500  0.500  0.000  -0.08
Fe  0.375  0.387  0.750  2.17
Nb  0.000  0.000  0.000  -0.36

Properties
ρ = 7.9 g/cm3
DFT total energy = -7.815 eV per atom
Calculated volume = 13.911 Å³ per atom
Formation energy = 0.379 eV per atom
Magnetic moment = 3.93 μB per formula unit


(7)
Below is a relaxed structure of NbFe2Ni2, with properties calculated at the PBE-GGA level.

abc: 3.465 3.465 5.958
angles: 73.10 73.10 90.00
Each line ends with the local moment (μB).
Positions (direct):
Fe  0.601  0.601  0.798  1.80
Nb  0.000  0.000  0.000  -0.49
Ni  0.250  0.750  0.500  0.41
Ni  0.750  0.250  0.500  0.41
Fe  0.399  0.399  0.202  1.80

Properties
ρ = 8.2 g/cm3
DFT total energy = -7.564 eV per atom
Calculated volume = 13.037 Å³ per atom
Formation energy = 0.148 eV per atom
Magnetic moment = 3.83 μB per formula unit


(8)
Below is a relaxed structure of NbFeNi6, with properties calculated at the PBE-GGA level.

abc: 4.362 4.362 6.482
angles: 74.75 74.75 65.68
Each line ends with the local moment (μB).
Positions (direct):
Ni  0.356  0.356  0.940  0.33
Ni  0.544  0.059  0.297  0.21
Ni  0.644  0.644  0.060  0.33
Ni  0.059  0.544  0.297  0.21
Ni  0.456  0.941  0.703  0.21
Nb  0.500  0.500  0.500  -0.18
Fe  0.000  0.000  0.000  2.89
Ni  0.941  0.456  0.703  0.21

Properties
ρ = 7.8 g/cm3
DFT total energy = -6.454 eV per atom
Calculated volume = 13.344 Å³ per atom
Formation energy = 0.198 eV per atom
Magnetic moment = 4.07 μB per formula unit


(9)
Below is a relaxed structure of Nb2Fe3Ni, with properties calculated at the PBE-GGA level.

abc: 4.761 4.761 4.857
angles: 90.02 119.35 119.99
Each line ends with the local moment (μB).
Positions (direct):
Ni  0.000  0.000  0.000  -0.10
Fe  0.000  0.000  0.500  1.34
Nb  0.245  0.623  0.868  -0.41
Fe  0.500  0.000  0.500  1.34
Fe  0.500  0.500  0.500  1.34
Nb  0.755  0.377  0.132  -0.41

Properties
ρ = 8.7 g/cm3
DFT total energy = -8.711 eV per atom
Calculated volume = 13.102 Å³ per atom
Formation energy = -0.160 eV per atom
Magnetic moment = 2.98 μB per formula unit


(10)
Below is a relaxed structure of NbFeNi, with properties calculated at the PBE-GGA level.

abc: 4.108 4.108 6.378
angles: 71.21 71.21 60.00
Positions (direct):
Ni  0.144  0.144  0.568
Fe  0.287  0.287  0.139
Nb  0.579  0.579  0.262
Nb  0.421  0.421  0.738
Ni  0.856  0.856  0.432
Fe  0.713  0.713  0.861

Properties
ρ = 8.0 g/cm3
DFT total energy = -7.799 eV per atom
Calculated volume = 14.423 Å³ per atom
Formation energy = 0.306 eV per atom
Magnetic moment = 0.02 μB per formula unit


(11)
Below is a relaxed structure of Nb2FeNi6, with properties calculated at the PBE-GGA level.

abc: 5.473 4.921 4.921
angles: 120.00 90.00 90.00
Each line ends with the local moment (μB).
Positions (direct):
Ni  0.175  0.654  0.827  0.25
Fe  0.500  0.000  0.000  2.41
Ni  0.175  0.173  0.827  0.25
Ni  0.825  0.346  0.173  0.25
Ni  0.175  0.173  0.346  0.25
Nb  0.631  0.333  0.667  -0.13
Ni  0.825  0.827  0.654  0.25
Ni  0.825  0.827  0.173  0.25
Nb  0.369  0.667  0.333  -0.13

Properties
ρ = 8.6 g/cm3
DFT total energy = -7.116 eV per atom
Calculated volume = 12.753 Å³ per atom
Formation energy = -0.084 eV per atom
Magnetic moment = 3.49 μB per formula unit


(12)
Below is a relaxed structure of NbFe3Ni6, with properties calculated at the PBE-GGA level.

abc: 3.572 8.146 8.180
angles: 90.39 90.00 90.00
Each line ends with the local moment (μB).
Positions (direct):
Ni  0.250  0.259  0.503  0.40
Nb  0.250  0.939  0.619  -0.06
Ni  0.750  0.546  0.902  0.66
Ni  0.750  0.948  0.092  0.42
Ni  0.750  0.363  0.296  0.53
Ni  0.250  0.052  0.908  0.42
Ni  0.250  0.162  0.191  0.28
Fe  0.250  0.348  0.802  2.72
Ni  0.250  0.637  0.704  0.53
Nb  0.750  0.061  0.381  -0.06
Fe  0.750  0.254  0.001  2.77
Fe  0.750  0.652  0.198  2.72
Ni  0.250  0.454  0.098  0.66
Ni  0.750  0.741  0.497  0.40
Fe  0.750  0.449  0.603  2.69
Fe  0.250  0.746  0.999  2.77
Ni  0.750  0.838  0.809  0.28
Ni  0.250  0.846  0.292  0.40
Fe  0.250  0.551  0.397  2.69
Ni  0.750  0.154  0.708  0.40

Properties
ρ = 8.5 g/cm3
DFT total energy = -7.083 eV per atom
Calculated volume = 11.902 Å³ per atom
Formation energy = -0.068 eV per atom
Magnetic moment = 10.55 μB per formula unit